(1)
Ce6Tc2Ag: optimized geometry, PBE.

## Properties
The total DFT energy (no corrections) is -0.2466 hartree per atom. For the calculated volume, the calculation gives 24.30 A^3/atom. For the energy relative to the elements, the calculation gives -0.1332 eV per atom.

Cell: 5.6461 5.6461 8.6805 Å, 97.29 97.29 52.98°
With the nearest neighbours (Å) after each atom.
Fractional positions:
Ce: 0.0462 0.0462 0.3595  3 Ce 2.73-2.97, 1 Tc 2.98
Ce: 0.3087 0.3087 0.8904  1 Tc 2.34
Ce: 0.3881 0.3881 0.3258  3 Tc 2.93-3.08, 2 Ce 2.97
Ce: 0.6119 0.6119 0.6742  3 Tc 2.93-3.08, 2 Ce 2.97
Ce: 0.6913 0.6913 0.1096  1 Tc 2.34
Ce: 0.9538 0.9538 0.6405  3 Ce 2.73-2.97, 1 Tc 2.98
Tc: 0.2738 0.2738 0.6178  1 Ce 2.34
Tc: 0.7262 0.7262 0.3822  1 Ce 2.34
Ag: 0.0000 0.0000 0.0000  8 Ce 3.09-3.39



(2)
Ce2TcAg: optimized geometry, PBE.

## Properties
The total DFT energy (no corrections) is -0.2342 hartree per atom. For the calculated volume, the calculation gives 22.82 A^3/atom. For the energy relative to the elements, the calculation gives -0.1026 eV per atom.

Cell: 3.3660 3.3660 8.0561 Å, 90.00 90.00 90.00°
With the nearest neighbours (Å) after each atom.
Fractional positions:
Ce: 0.0000 0.0000 0.2178  4 Tc 2.96, 4 Ag 3.29
Ce: 0.0000 0.0000 0.7822  4 Tc 2.96, 4 Ag 3.29
Tc: 0.5000 0.5000 0.0000  8 Ce 2.96
Ag: 0.5000 0.5000 0.5000  8 Ce 3.29, 4 Ag 3.37



(3)
Ce2TcAg: optimized geometry, PBE.

## Properties
The total DFT energy (no corrections) is -0.2286 hartree per atom. For the calculated volume, the calculation gives 25.70 A^3/atom. For the energy relative to the elements, the calculation gives 0.0511 eV per atom.

Cell: 7.6662 7.6662 7.6662 Å, 30.49 30.49 30.49°
With the nearest neighbours (Å) after each atom.
Fractional positions:
Ce: 0.0000 0.0000 0.0000  3 Tc 2.77
Ce: 0.1976 0.1976 0.1976  3 Tc 2.75
Tc: 0.5980 0.5980 0.5980  6 Ce 2.75-2.77
Ag: 0.4330 0.4330 0.4330  6 Ce 3.17-3.19



(4)
CeAg5Te4: optimized geometry, PBE.

## Properties
Its formation energy (no corrections) is -0.348 eV per atom. The total DFT energy (no corrections) is -0.1332 hartree per atom. For the calculated volume, the calculation gives 28.64 A^3/atom.

Cell: 8.8598 8.8598 8.8598 Å, 149.93 123.84 65.02°
With the nearest neighbours (Å) after each atom.
Fractional positions:
Ce: 0.0000 0.0000 0.0000  6 Te 3.24-3.29
Ag: 0.0157 0.3155 0.7002  4 Te 2.82-2.89, 2 Ag 3.13
Ag: 0.3846 0.6845 0.7002  4 Te 2.82-2.89, 2 Ag 3.13
Ag: 0.5000 0.0000 0.5000  4 Te 2.98
Ag: 0.6154 0.3155 0.2998  4 Te 2.82-2.89, 2 Ag 3.13
Ag: 0.9843 0.6845 0.2998  4 Te 2.82-2.89, 2 Ag 3.13
Te: 0.2202 0.2202 0.0000  6 Ag 2.88-2.89
Te: 0.2731 0.5000 0.7731  4 Ag 2.82-2.98
Te: 0.7269 0.5000 0.2269  4 Ag 2.82-2.98
Te: 0.7798 0.7798 0.0000  6 Ag 2.88-2.89



(5)
Ce6AgTe5: optimized geometry, PBE.

## Properties
Its formation energy (no corrections) is -1.107 eV per atom. The total DFT energy (no corrections) is -0.2066 hartree per atom. For the calculated volume, the calculation gives 31.60 A^3/atom.

Cell: 7.7637 7.7637 7.7078 Å, 99.69 99.69 119.91°
With the nearest neighbours (Å) after each atom.
Fractional positions:
Ce: 0.0813 0.4128 0.7467  1 Ag 3.13, 5 Te 3.16-3.17
Ce: 0.2465 0.2465 0.2469  1 Ag 3.16, 5 Te 3.17
Ce: 0.4128 0.0813 0.7467  1 Ag 3.13, 5 Te 3.16-3.17
Ce: 0.5872 0.9187 0.2533  1 Ag 3.13, 5 Te 3.16-3.17
Ce: 0.7535 0.7535 0.7531  1 Ag 3.16, 5 Te 3.17
Ce: 0.9187 0.5872 0.2533  1 Ag 3.13, 5 Te 3.16-3.17
Ag: 0.0000 0.0000 0.5000  6 Ce 3.13-3.16
Te: 0.1698 0.8302 0.0000  6 Ce 3.16-3.17
Te: 0.3348 0.6652 0.5000  6 Ce 3.16-3.17
Te: 0.5000 0.5000 0.0000  6 Ce 3.17
Te: 0.6652 0.3348 0.5000  6 Ce 3.16-3.17
Te: 0.8302 0.1698 0.0000  6 Ce 3.16-3.17



(6)
CeAg8Te6: optimized geometry, PBE.

## Properties
Its formation energy (no corrections) is -0.305 eV per atom. The total DFT energy (no corrections) is -0.1278 hartree per atom. For the calculated volume, the calculation gives 26.90 A^3/atom.

Cell: 8.7717 8.7717 8.7717 Å, 53.40 53.40 53.40°
With the nearest neighbours (Å) after each atom.
Fractional positions:
Ce: 0.0000 0.0000 0.0000  6 Te 3.13
Ag: 0.1191 0.8358 0.6310  3 Te 2.81-2.89, 2 Ag 2.93-3.03
Ag: 0.1642 0.3690 0.8809  3 Te 2.81-2.89, 2 Ag 2.93-3.03
Ag: 0.3690 0.8809 0.1642  3 Te 2.81-2.89, 2 Ag 2.93-3.03
Ag: 0.4333 0.4333 0.4333  3 Te 2.84, 4 Ag 3.00-3.03
Ag: 0.5667 0.5667 0.5667  3 Te 2.84, 4 Ag 3.00-3.03
Ag: 0.6310 0.1191 0.8358  3 Te 2.81-2.89, 2 Ag 2.93-3.03
Ag: 0.8358 0.6310 0.1191  3 Te 2.81-2.89, 2 Ag 2.93-3.03
Ag: 0.8809 0.1642 0.3690  3 Te 2.81-2.89, 2 Ag 2.93-3.03
Te: 0.0432 0.7419 0.4259  4 Ag 2.81-2.89, 1 Ce 3.13
Te: 0.2581 0.5741 0.9568  4 Ag 2.81-2.89, 1 Ce 3.13
Te: 0.4259 0.0432 0.7419  4 Ag 2.81-2.89, 1 Ce 3.13
Te: 0.5741 0.9568 0.2581  4 Ag 2.81-2.89, 1 Ce 3.13
Te: 0.7419 0.4259 0.0432  4 Ag 2.81-2.89, 1 Ce 3.13
Te: 0.9568 0.2581 0.5741  4 Ag 2.81-2.89, 1 Ce 3.13